Entry i
# LiPrHg4

LiPrHg4 after structural relaxation (PBE, the Alexandria database).

Structure (POSCAR):
```
LiPrHg4
1.0
4.7434 0.0000 0.0000
0.0000 4.7434 0.0000
0.0000 0.0000 7.3401
Hg Li Pr
4 1 1
Cartesian
2.3717 0.0000 2.1466
0.0000 2.3717 5.1935
2.3717 0.0000 5.1935
0.0000 2.3717 2.1466
2.3717 2.3717 3.6701
0.0000 0.0000 0.0000
```

space group	P4/mmm (123)
density of states at the Fermi level	4.097	states/eV/f.u.
magnetic moment	0.000	μB per formula unit

---

Entry ii
# LiPrHg4

LiPrHg4 after structural relaxation (PBE, the Alexandria database).

Structure (POSCAR):
```
LiPrHg4
1.0
3.8930 0.0000 1.1260
2.1505 5.0118 -0.1423
-0.1081 -1.5409 7.6667
Li Hg Pr
1 4 1
Cartesian
0.0000 0.0000 0.0000
2.4631 -0.9571 6.0697
3.4723 4.4280 2.5807
1.7410 2.1590 1.2736
4.1944 1.3118 7.3767
2.9677 1.7354 4.3252
```

space group	C2/m (12)
density of states at the Fermi level	2.359	states/eV/f.u.
magnetic moment	0.000	μB per formula unit

---

The data favor entry ii; the next most stable structure lies 154 meV/atom above it.